1.
A relaxed Nd8Zn2Ir crystal. Source: the Alexandria database, functional GGA-PBE.

Cell lengths 5.231, 6.878, 9.476 Å; angles 100.63, 106.02, 90.00 degrees
Fractional coordinates of all 11 atoms:
Ir 0.500 0.000 0.000
Nd 0.589 0.434 0.178
Nd 0.656 0.958 0.313
Nd 0.028 0.782 0.056
Nd 0.202 0.319 0.403
Zn 0.194 0.745 0.389
Zn 0.806 0.255 0.611
Nd 0.972 0.218 0.944
Nd 0.798 0.681 0.597
Nd 0.411 0.566 0.822
Nd 0.344 0.042 0.687

Properties
Uncorrected energy = -4.730 eV per atom
Magnetic moment = 0.00 μB/cell
Energy of formation = -225 meV per atom

2.
A relaxed EuAgSb2 crystal. Source: the Alexandria database, functional GGA-PBE.

Cell lengths 4.978, 4.978, 5.966 Å; angles 65.34, 65.34, 60.00 degrees
Fractional coordinates of all 4 atoms:
Eu 0.500 0.500 0.500
Sb 0.285 0.285 0.146
Sb 0.715 0.715 0.854
Ag 0.000 0.000 0.000

Properties
Uncorrected energy = -5.674 eV per atom
Magnetic moment = 6.98 μB/cell

3.
A relaxed UCrOs crystal. Source: the Alexandria database, functional GGA-PBE.

Cell lengths 2.876, 2.876, 6.141 Å; angles 103.54, 103.54, 90.00 degrees
Fractional coordinates of all 3 atoms:
Cr 0.685 0.685 0.369
U 0.006 0.006 0.011
Os 0.310 0.310 0.619

Properties
Relative energy among the computed polymorphs = 0 meV per atom
Uncorrected energy = -10.687 eV per atom
Magnetic moment = 0.00 μB/cell
Energy of formation = 27 meV per atom

4.
A relaxed ZrTeCl2 crystal. Source: the Alexandria database, functional GGA-PBE.

Cell lengths 12.093, 12.093, 12.093 Å; angles 15.66, 15.66, 15.66 degrees
Fractional coordinates of all 4 atoms:
Cl 0.467 0.467 0.467
Zr 0.750 0.750 0.750
Cl 0.033 0.033 0.033
Te 0.250 0.250 0.250

Properties
Relative energy among the computed polymorphs = 314 meV per atom
Uncorrected energy = -4.878 eV per atom
Magnetic moment = 0.37 μB/cell

5.
A relaxed MnZn2Co crystal. Source: the Alexandria database, functional GGA-PBE.

Cell lengths 4.153, 4.153, 4.153 Å; angles 60.00, 60.00, 60.00 degrees
Fractional coordinates of all 4 atoms:
Zn 0.750 0.750 0.750
Zn 0.250 0.250 0.250
Mn 0.000 0.000 0.000
Co 0.500 0.500 0.500

Properties
Relative energy among the computed polymorphs = 53 meV per atom
Uncorrected energy = -4.696 eV per atom
Magnetic moment = 3.37 μB/cell
Energy of formation = 10 meV per atom

6.
A relaxed CsRbPbCl4 crystal. Source: the Alexandria database, functional GGA-PBE.

Cell lengths 5.692, 5.692, 9.491 Å; angles 107.45, 107.45, 90.00 degrees
Fractional coordinates of all 7 atoms:
Cl 0.995 0.495 0.990
Pb 0.001 0.001 0.002
Cl 0.836 0.836 0.672
Cl 0.171 0.171 0.342
Cl 0.495 0.995 0.990
Rb 0.360 0.360 0.721
Cs 0.642 0.642 0.284

Properties
Uncorrected energy = -3.467 eV per atom
Magnetic moment = 0.00 μB/cell

7.
A relaxed AlReHg2 crystal. Source: the Alexandria database, functional GGA-PBE.

Cell lengths 2.946, 2.946, 8.747 Å; angles 90.00, 90.00, 90.01 degrees
Fractional coordinates of all 4 atoms:
Re 0.000 0.000 0.528
Al 0.500 0.500 0.711
Hg 0.500 0.500 0.284
Hg 0.000 0.000 0.978

Properties
Uncorrected energy = -3.768 eV per atom
Magnetic moment = 0.00 μB/cell
Energy of formation = 431 meV per atom

8.
A relaxed AlPPb2 crystal. Source: the Alexandria database, functional GGA-PBE.

Cell lengths 3.713, 5.325, 5.653 Å; angles 64.50, 90.00, 90.00 degrees
Fractional coordinates of all 4 atoms:
Al 0.000 0.581 0.524
Pb 0.500 0.261 0.292
P 0.500 0.681 0.734
Pb 0.000 0.977 0.949

Properties
Relative energy among the computed polymorphs = 61 meV per atom
Uncorrected energy = -4.086 eV per atom
Magnetic moment = 0.00 μB/cell
Energy of formation = 56 meV per atom